# ReTcW3, relaxed, DFT PBE-GGA
data_ReTcW3
_chemical_formula_sum 'Re1 Tc1 W3'
_cell_length_a 4.613
_cell_length_b 4.613
_cell_length_c 4.613
_cell_angle_alpha 90.00
_cell_angle_beta 90.00
_cell_angle_gamma 90.00
_symmetry_space_group_name_H-M 'P m -3 m'
_symmetry_Int_Tables_number 221
_symmetry_space_group_name_Hall '-P 4 2 3'
loop_
_atom_site_label
_atom_site_fract_x
_atom_site_fract_y
_atom_site_fract_z
_atom_site_occupancy
Re1 0.000 0.000 0.000 1
Tc1 0.500 0.500 0.500 1
W1 0.000 0.500 0.500 1
# Spin magnetization   0.00 μB per formula unit
# Formation energy from the elements   2.2302 eV per atom
# Polymorph energy (0 for the lowest one)   0.0 meV/atom
# Fermi-level density of states   1.106 states/eV per atom
# Final energy   -50.52 eV for the cell shown

---

# CaNdAlCu, relaxed, DFT PBE-GGA
data_CaNdAlCu
_chemical_formula_sum 'Ca4 Nd4 Al4 Cu4'
_cell_length_a 7.324
_cell_length_b 7.324
_cell_length_c 7.324
_cell_angle_alpha 90.00
_cell_angle_beta 90.00
_cell_angle_gamma 90.00
_symmetry_space_group_name_H-M 'F -4 3 m'
_symmetry_Int_Tables_number 216
_symmetry_space_group_name_Hall 'F -4 2 3'
loop_
_atom_site_label
_atom_site_fract_x
_atom_site_fract_y
_atom_site_fract_z
_atom_site_occupancy
Ca1 0.000 0.000 0.000 1
Nd1 0.000 0.000 0.500 1
Al1 0.250 0.250 0.750 1
Cu1 0.250 0.250 0.250 1
# Spin magnetization   0.00 μB per formula unit
# Formation energy from the elements   -0.1826 eV per atom
# Fermi-level density of states   0.727 states/eV per atom
# Final energy   -61.35 eV for the cell shown

---

# Cs2InTe, relaxed, DFT PBE-GGA
data_Cs2InTe
_chemical_formula_sum 'Cs8 In4 Te4'
_cell_length_a 8.290
_cell_length_b 7.807
_cell_length_c 13.451
_cell_angle_alpha 90.00
_cell_angle_beta 119.21
_cell_angle_gamma 90.00
_symmetry_space_group_name_H-M 'P 1 21/c 1'
_symmetry_Int_Tables_number 14
_symmetry_space_group_name_Hall '-P 2ybc'
loop_
_atom_site_label
_atom_site_fract_x
_atom_site_fract_y
_atom_site_fract_z
_atom_site_occupancy
Cs1 0.190 0.201 0.062 1
Cs2 0.227 0.593 0.846 1
In1 0.365 0.087 0.856 1
Te1 0.346 0.665 0.154 1
# Spin magnetization   0.00 μB per formula unit
# Polymorph energy (0 for the lowest one)   0.0 meV/atom
# Formation energy (no corrections)   -2.29 eV per formula unit
# Fermi-level density of states   0.070 states/eV per atom
# Final energy   -39.51 eV for the cell shown

---

# CsTbSn2Cl8, relaxed, DFT PBE-GGA
data_CsTbSn2Cl8
_chemical_formula_sum 'Cs1 Tb1 Sn2 Cl8'
_cell_length_a 6.483
_cell_length_b 6.987
_cell_length_c 9.609
_cell_angle_alpha 84.21
_cell_angle_beta 87.52
_cell_angle_gamma 86.65
_symmetry_space_group_name_H-M 'P -1'
_symmetry_Int_Tables_number 2
_symmetry_space_group_name_Hall '-P 1'
loop_
_atom_site_label
_atom_site_fract_x
_atom_site_fract_y
_atom_site_fract_z
_atom_site_occupancy
Cs1 0.000 0.000 0.000 1
Tb1 0.000 0.000 0.500 1
Sn1 0.481 0.478 0.261 1
Cl1 0.224 0.827 0.308 1
Cl2 0.232 0.314 0.460 1
Cl3 0.257 0.863 0.701 1
Cl4 0.268 0.392 0.067 1
# Spin magnetization   0.00 μB per formula unit
# Formation energy (no corrections)   -19.05 eV per formula unit
# Fermi-level density of states   0.000 states/eV per atom
# Final energy   -47.32 eV for the cell shown

---

> Which of these has the lowest Fermi-level density of states?

CsTbSn2Cl8

---

> Which value of Fermi-level density of states does entry 3 give?

0.070 states/eV per atom